Version a
CaFe3P | GGA-PBE | optimized geometry

a b c (Å): 4.3232 4.3232 4.3232
angles (deg): 90.00 90.00 90.00
Site moments in Bohr magnetons follow the coordinates.
Fractional positions:
P 0.0000 0.0000 0.0000  -0.06
Ca 0.5000 0.5000 0.5000  -0.09
Fe 0.0000 0.5000 0.0000  2.06
Fe 0.0000 0.0000 0.5000  2.03
Fe 0.5000 0.0000 0.0000  2.06

Calculated values
The value obtained for the density of states at the Fermi level is 0.9161 states/eV/atom. As for the space-group type: No. 221.

Version b
CaFe3P | GGA-PBE | optimized geometry

a b c (Å): 4.5236 4.5236 4.5236
angles (deg): 90.00 90.00 90.00
Site moments in Bohr magnetons follow the coordinates.
Fractional positions:
P 0.5000 0.5000 0.5000  0.07
Ca 0.0000 0.0000 0.0000  -0.26
Fe 0.0000 0.5000 0.0000  2.58
Fe 0.0000 0.0000 0.5000  2.42
Fe 0.5000 0.0000 0.0000  2.73

Calculated values
The value obtained for the density of states at the Fermi level is 1.3591 states/eV/atom. As for the space-group type: No. 221.

Result of the stability comparison: version a is the most stable of them.

Version a
CaFePd3 | GGA-PBE | optimized geometry

a b c (Å): 4.8449 4.8449 4.8449
angles (deg): 90.00 90.00 90.00
Site moments in Bohr magnetons follow the coordinates.
Fractional positions:
Ca 0.0000 0.0000 0.0000  -0.01
Fe 0.5000 0.5000 0.5000  3.38
Pd 0.0000 0.5000 0.0000  0.02
Pd 0.0000 0.0000 0.5000  0.04
Pd 0.5000 0.0000 0.0000  0.06

Calculated values
The value obtained for the density of states at the Fermi level is 1.6732 states/eV/atom. As for the space-group type: No. 221.

Version b
CaFePd3 | GGA-PBE | optimized geometry

a b c (Å): 4.6982 4.6982 4.6982
angles (deg): 90.00 90.00 90.00
Site moments in Bohr magnetons follow the coordinates.
Fractional positions:
Ca 0.5000 0.5000 0.5000  -0.01
Fe 0.0000 0.0000 0.0000  3.05
Pd 0.0000 0.5000 0.0000  0.29
Pd 0.0000 0.0000 0.5000  0.45
Pd 0.5000 0.0000 0.0000  0.12

Calculated values
The value obtained for the density of states at the Fermi level is 0.7467 states/eV/atom. As for the space-group type: No. 221.

Result of the stability comparison: version b is the most stable of them.

Version a
Ca2FePd | GGA-PBE | optimized geometry

a b c (Å): 5.0245 5.0245 5.0245
angles (deg): 60.00 60.00 60.00
Site moments in Bohr magnetons follow the coordinates.
Fractional positions:
Ca 0.2500 0.2500 0.2500  -0.06
Ca 0.7500 0.7500 0.7500  -0.06
Fe 0.0000 0.0000 0.0000  2.77
Pd 0.5000 0.5000 0.5000  0.06

Calculated values
The value obtained for the density of states at the Fermi level is 4.6405 states/eV/atom. As for the space-group type: No. 225.

Version b
Ca2FePd | GGA-PBE | optimized geometry

a b c (Å): 7.8385 7.8385 6.3255
angles (deg): 51.71 51.71 90.00
Site moments in Bohr magnetons follow the coordinates.
Fractional positions:
Ca 0.6417 0.1250 0.2500  -0.07
Ca 0.1083 0.6250 0.2500  -0.07
Ca 0.3750 0.3583 0.7500  -0.07
Ca 0.8750 0.8917 0.7500  -0.07
Fe 0.5000 0.5000 0.0000  2.77
Fe 0.2500 0.7500 0.5000  2.77
Pd 0.0000 0.0000 0.0000  0.02
Pd 0.7500 0.2500 0.5000  0.03

Calculated values
The value obtained for the density of states at the Fermi level is 1.0900 states/eV/atom. As for the space-group type: No. 122.

Result of the stability comparison: version a is the most stable of them.

Version a
CaFe3Pt | GGA-PBE | optimized geometry

a b c (Å): 4.7642 4.7642 4.7642
angles (deg): 90.00 90.00 90.00
Site moments in Bohr magnetons follow the coordinates.
Fractional positions:
Ca 0.5000 0.5000 0.5000  -0.08
Fe 0.0000 0.5000 0.0000  3.21
Fe 0.0000 0.0000 0.5000  3.58
Fe 0.5000 0.0000 0.0000  2.45
Pt 0.0000 0.0000 0.0000  0.43

Calculated values
The value obtained for the density of states at the Fermi level is 1.1441 states/eV/atom. As for the space-group type: No. 221.

Version b
CaFe3Pt | GGA-PBE | optimized geometry

a b c (Å): 4.3854 4.3854 4.3854
angles (deg): 90.00 90.00 90.00
Site moments in Bohr magnetons follow the coordinates.
Fractional positions:
Ca 0.0000 0.0000 0.0000  -0.21
Fe 0.0000 0.5000 0.0000  2.59
Fe 0.0000 0.0000 0.5000  2.34
Fe 0.5000 0.0000 0.0000  2.87
Pt 0.5000 0.5000 0.5000  0.22

Calculated values
The value obtained for the density of states at the Fermi level is 1.5174 states/eV/atom. As for the space-group type: No. 221.

Result of the stability comparison: version a is the most stable of them.

Version a
RbCa2Fe | GGA-PBE | optimized geometry

a b c (Å): 7.8653 7.8653 7.8904
angles (deg): 60.11 60.11 90.00
Site moments in Bohr magnetons follow the coordinates.
Fractional positions:
Ca 0.3752 0.1250 0.2500  0.07
Ca 0.3748 0.6250 0.2500  0.07
Ca 0.3750 0.6248 0.7500  0.07
Ca 0.8750 0.6252 0.7500  0.08
Fe 0.5000 0.5000 0.0000  -0.96
Fe 0.2500 0.7500 0.5000  -0.96
Rb 0.0000 0.0000 0.0000  0.02
Rb 0.7500 0.2500 0.5000  0.02

Calculated values
The value obtained for the density of states at the Fermi level is 2.0550 states/eV/atom. As for the space-group type: No. 141.

Version b
RbCa2Fe | GGA-PBE | optimized geometry

a b c (Å): 5.7934 5.7934 5.7934
angles (deg): 60.00 60.00 60.00
Site moments in Bohr magnetons follow the coordinates.
Fractional positions:
Ca 0.2500 0.2500 0.2500  -0.04
Ca 0.7500 0.7500 0.7500  -0.04
Fe 0.0000 0.0000 0.0000  2.95
Rb 0.5000 0.5000 0.5000  -0.02

Calculated values
The value obtained for the density of states at the Fermi level is 2.1293 states/eV/atom. As for the space-group type: No. 225.

Result of the stability comparison: version b is the most stable of them.

Version a
CaFeRe2 | GGA-PBE | optimized geometry

a b c (Å): 4.7614 4.7614 5.5502
angles (deg): 77.24 77.24 37.38
Site moments in Bohr magnetons follow the coordinates.
Fractional positions:
Re 0.9948 0.9948 0.9899  -0.02
Re 0.7207 0.7207 0.8530  -0.12
Ca 0.5044 0.5044 0.4850  -0.01
Fe 0.2800 0.2800 0.1720  1.95

Calculated values
The value obtained for the density of states at the Fermi level is 1.1388 states/eV/atom. As for the space-group type: No. 8.

Version b
CaFeRe2 | GGA-PBE | optimized geometry

a b c (Å): 4.7125 3.7554 3.7554
angles (deg): 90.00 90.00 90.00
Site moments in Bohr magnetons follow the coordinates.
Fractional positions:
Re 0.0000 0.0000 0.0000  0.03
Re 0.0000 0.5000 0.5000  0.03
Ca 0.5000 0.5000 0.0000  -0.05
Fe 0.5000 0.0000 0.5000  2.33

Calculated values
The value obtained for the density of states at the Fermi level is 1.1894 states/eV/atom. As for the space-group type: No. 123.

Result of the stability comparison: version a is the most stable of them.

Version a
CaFeRe2 | GGA-PBE | optimized geometry

a b c (Å): 5.4981 5.4981 2.6390
angles (deg): 81.01 81.01 121.22
Site moments in Bohr magnetons follow the coordinates.
Fractional positions:
Re 0.0000 0.0000 0.0000  0.04
Re 0.5000 0.5000 0.0000  0.04
Ca 0.5000 0.0000 0.5000  -0.05
Fe 0.0000 0.5000 0.5000  2.46

Calculated values
The value obtained for the density of states at the Fermi level is 0.8945 states/eV/atom. As for the space-group type: No. 12.

Version b
CaFeRe2 | GGA-PBE | optimized geometry

a b c (Å): 4.4795 4.4795 4.4795
angles (deg): 60.00 60.00 60.00
Site moments in Bohr magnetons follow the coordinates.
Fractional positions:
Re 0.0000 0.0000 0.0000  -0.12
Re 0.2500 0.2500 0.2500  -0.11
Ca 0.5000 0.5000 0.5000  -0.05
Fe 0.7500 0.7500 0.7500  2.21

Calculated values
The value obtained for the density of states at the Fermi level is 1.0879 states/eV/atom. As for the space-group type: No. 216.

Result of the stability comparison: version b is the most stable of them.

Version a
Ca2FeRe2 | GGA-PBE | optimized geometry

a b c (Å): 3.5100 3.5100 9.5679
angles (deg): 79.43 79.43 90.00
Site moments in Bohr magnetons follow the coordinates.
Fractional positions:
Re 0.7500 0.2500 0.5000  0.01
Re 0.2500 0.7500 0.5000  0.01
Ca 0.3988 0.3988 0.2023  0.02
Ca 0.6012 0.6012 0.7977  0.02
Fe 0.0000 0.0000 0.0000  -0.14

Calculated values
The value obtained for the density of states at the Fermi level is 1.7137 states/eV/atom. As for the space-group type: No. 139.

Version b
Ca2FeRe2 | GGA-PBE | optimized geometry

a b c (Å): 8.8469 8.8469 2.7976
angles (deg): 90.00 90.00 90.00
Site moments in Bohr magnetons follow the coordinates.
Fractional positions:
Re 0.0911 0.5911 0.5000  0.05
Re 0.5911 0.9089 0.5000  0.04
Re 0.9089 0.4089 0.5000  0.05
Re 0.4089 0.0911 0.5000  0.04
Ca 0.3030 0.8030 0.0000  0.03
Ca 0.8030 0.6970 0.0000  0.03
Ca 0.6970 0.1970 0.0000  0.03
Ca 0.1970 0.3030 0.0000  0.03
Fe 0.0000 0.0000 0.0000  -0.24
Fe 0.5000 0.5000 0.0000  -0.24

Calculated values
The value obtained for the density of states at the Fermi level is 1.8765 states/eV/atom. As for the space-group type: No. 127.

Result of the stability comparison: version a is the most stable of them.